{"formula": "ReNi2AsH", "functional": "PBE", "state": "relaxed", "dos_at_fermi_per_ev_fu": 5.9, "energy_ev_per_cell": -30.3, "lattice_angstrom": [[3.6077, 0.0000, 0.0000], [0.0000, 3.6077, 0.0000], [0.0000, 0.0000, 4.2018]], "species": ["Re", "As", "H", "Ni", "Ni"], "frac_coords": [[0.5000, 0.5000, 0.5000], [0.0000, 0.0000, 0.5000], [0.0000, 0.0000, 0.0000], [0.0000, 0.5000, 0.0000], [0.5000, 0.0000, 0.0000]]}


{"formula": "MnCrFe2", "functional": "PBE", "state": "relaxed", "dos_at_fermi_per_ev_fu": 4.7, "formation_energy_mev_per_atom": 110, "lattice_angstrom": [[2.4808, 0.0000, 0.0000], [1.2404, 2.1484, 0.0000], [1.2404, 0.7161, 8.0441]], "species": ["Mn", "Cr", "Fe", "Fe"], "frac_coords": [[0.5007, 0.5007, 0.4980], [0.6668, 0.6668, 0.9995], [0.0853, 0.0853, 0.7441], [0.2472, 0.2472, 0.2585]]}